Pm4Ho3Sn4 | GGA-PBE | relaxed

ΔH_f (0 K) = -549.6 meV per atom
Total magnetization = 0.0000 μB per atom
Calculated total energy = -0.3661 Ry per atom

a b c (Å): 10.8185 10.8185 10.8185
angles (deg): 161.16 127.24 56.53
With the nearest neighbours (Å) after each atom.
Positions (direct):
Pm (0.0143, 0.8371, 0.1772)  4 Sn 3.26-3.32, 3 Pm 3.41-3.54
Pm (0.3401, 0.1629, 0.1772)  4 Sn 3.26-3.32, 3 Pm 3.41-3.54
Pm (0.6599, 0.8371, 0.8228)  4 Sn 3.26-3.32, 3 Pm 3.41-3.54
Pm (0.9857, 0.1629, 0.8228)  4 Sn 3.26-3.32, 3 Pm 3.41-3.54
Ho (0.0000, 0.5000, 0.5000)  4 Sn 3.22, 2 Ho 3.54
Ho (0.4093, 0.4093, 0.0000)  6 Sn 3.10-3.26, 1 Ho 3.46
Ho (0.5907, 0.5907, 0.0000)  6 Sn 3.10-3.26, 1 Ho 3.46
Sn (0.2758, 0.7758, 0.5000)  2 Ho 3.10, 6 Pm 3.27-3.32
Sn (0.2795, 0.0000, 0.2795)  6 Ho 3.22-3.26, 2 Pm 3.26, 2 Sn 3.54
Sn (0.7205, 0.0000, 0.7205)  6 Ho 3.22-3.26, 2 Pm 3.26, 2 Sn 3.54
Sn (0.7242, 0.2242, 0.5000)  2 Ho 3.10, 6 Pm 3.27-3.32

TcGe2Cl | GGA-PBE | relaxed

Raw formation energy = 0.395 eV per atom
Total magnetization = 0.0000 μB per atom
Calculated total energy = -0.3651 Ry per atom
Distance to the lowest polymorph of the same formula = 0 meV per atom

a b c (Å): 7.1964 7.1964 7.1964
angles (deg): 130.95 130.95 71.89
With the nearest neighbours (Å) after each atom.
Positions (direct):
Tc (0.0000, 0.0000, 0.0000)  4 Ge 2.36
Tc (0.7500, 0.2500, 0.5000)  4 Ge 2.36
Ge (0.0614, 0.6250, 0.9364)  2 Tc 2.36
Ge (0.3750, 0.3114, 0.4364)  2 Tc 2.36
Ge (0.6886, 0.1250, 0.0636)  2 Tc 2.36
Ge (0.8750, 0.9386, 0.5636)  2 Tc 2.36
Cl (0.2500, 0.7500, 0.5000)  4 Ge 2.80
Cl (0.5000, 0.5000, 0.0000)  4 Ge 2.80

ZnAg2O4 | GGA-PBE | relaxed

Raw formation energy = -0.240 eV per atom
Total magnetization = 0.0000 μB per atom
Calculated total energy = -0.2991 Ry per atom
Distance to the lowest polymorph of the same formula = 64 meV per atom

a b c (Å): 6.1689 6.1689 6.1689
angles (deg): 116.14 113.19 99.53
With the nearest neighbours (Å) after each atom.
Positions (direct):
Zn (0.5000, 0.0000, 0.0000)  6 O 2.11-2.15
Zn (0.5000, 0.5000, 0.5000)  6 O 2.11-2.15
Ag (0.0000, 0.0000, 0.0000)  6 O 2.09-2.17
Ag (0.0968, 0.3468, 0.7500)  4 O 2.17-2.20
Ag (0.5000, 0.0000, 0.5000)  6 O 2.09-2.17
Ag (0.9032, 0.6532, 0.2500)  4 O 2.17-2.20
O (0.2321, 0.1875, 0.4553)  1 Zn 2.15, 3 Ag 2.17-2.20
O (0.2321, 0.7768, 0.0447)  1 Zn 2.15, 3 Ag 2.17-2.20
O (0.2936, 0.7415, 0.5521)  2 Ag 2.09-2.17, 2 Zn 2.11
O (0.3106, 0.2585, 0.0521)  2 Ag 2.09-2.17, 2 Zn 2.11
O (0.6894, 0.7415, 0.9479)  2 Ag 2.09-2.17, 2 Zn 2.11
O (0.7064, 0.2585, 0.4479)  2 Ag 2.09-2.17, 2 Zn 2.11
O (0.7679, 0.2232, 0.9553)  1 Zn 2.15, 3 Ag 2.17-2.20
O (0.7679, 0.8125, 0.5447)  1 Zn 2.15, 3 Ag 2.17-2.20